No. 1
The following is a PBEsol calculation of an optimized crystal structure of AlPb3, from Alexandria.

a b c (Å): 5.506 5.506 3.561
angles (deg): 90.00 90.00 90.00
Space group P4/mmm (No. 123)
Symmetry-distinct sites (fractional):
Al 0.000 0.000 0.000 [1 per cell]
Pb 0.000 0.500 0.500 [2 per cell]
Pb 0.500 0.500 0.000 [1 per cell]

Computed properties:
energy of formation from the pure elements = 196 meV/atom
total magnetization = 0.00 μB/f.u.
ΔE to the lowest computed polymorph = 63 meV/atom
calculated volume = 108 Å³/cell

---

No. 2
The following is a PBEsol calculation of an optimized crystal structure of AlPb3, from Alexandria.

a b c (Å): 4.750 4.928 9.156
angles (deg): 90.00 90.00 90.00
Space group Cmmm (No. 65)
Symmetry-distinct sites (fractional):
Al 0.000 0.000 0.000 [2 per cell]
Pb 0.000 0.000 0.500 [2 per cell]
Pb 0.000 0.500 0.222 [4 per cell]

Computed properties:
energy of formation from the pure elements = 132 meV/atom
total magnetization = 0.00 μB/f.u.
ΔE to the lowest computed polymorph = 0 meV/atom
calculated volume = 214 Å³/cell

---

No. 3
The following is a PBEsol calculation of an optimized crystal structure of AlPb, from Alexandria.

a b c (Å): 4.240 10.897 4.208
angles (deg): 90.00 90.00 90.00
Space group Cmcm (No. 63)
Symmetry-distinct sites (fractional):
Al 0.000 0.078 0.250 [4 per cell]
Pb 0.000 0.353 0.250 [4 per cell]

Computed properties:
energy of formation from the pure elements = 202 meV/atom
total magnetization = 0.00 μB/f.u.
calculated volume = 194 Å³/cell

---

no.,E (eV/cell)
1,-15.31
2,-31.12
3,-30.75